The following is a DFT calculation (PBE-GGA) of crystalline Na3HgO3 at its relaxed geometry.

Structure (extended XYZ):
```
7
Lattice="-3.043 -1.415 -1.829 -0.444 -2.845 5.601 -1.231 6.175 -0.067" Properties=species:S:1:pos:R:3 pbc="T T T"
Na -2.255 0.844 1.656
Na -0.747 3.293 -0.086
Na -0.323 -1.573 2.972
Hg -1.216 -0.565 -0.731
O -1.459 2.029 3.431
O -1.814 1.460 -0.861
O -1.546 -1.619 1.074
```

Computed properties:
D(E_F) ... 4.713 states/eV/cell
Mass density ... 4189 kg/m3
Magnetic moment ... 0.145 μB per atom
Relative energy among the computed polymorphs ... 40.7 meV per atom
Total DFT energy (no corrections) ... -3.546 eV/atom
Uncorrected formation energy ... -549 kJ/mol of formula units

---

The following is a DFT calculation (PBE-GGA) of crystalline Na2Hg2O3 at its relaxed geometry.

Structure (extended XYZ):
```
7
Lattice="3.467 0.000 0.000 0.000 6.020 0.123 -1.733 -1.432 5.492" Properties=species:S:1:pos:R:3 pbc="T T T"
Na 0.000 1.601 1.720
Na 1.733 2.987 3.895
Hg 0.000 -0.327 4.190
Hg 1.733 4.915 1.426
O 0.000 0.000 0.000
O 0.000 3.798 2.458
O 1.733 0.790 3.157
```

Computed properties:
D(E_F) ... 1.190 states/eV/cell
Mass density ... 7136 kg/m3
Magnetic moment ... 0.000 μB per atom
Relative energy among the computed polymorphs ... 62.3 meV per atom
Total DFT energy (no corrections) ... -3.301 eV/atom
Uncorrected formation energy ... -482 kJ/mol of formula units

---

The following is a DFT calculation (PBE-GGA) of crystalline NaHgO2 at its relaxed geometry.

Structure (extended XYZ):
```
8
Lattice="5.048 0.000 0.000 0.000 5.048 0.000 2.524 2.524 5.585" Properties=species:S:1:pos:R:3 pbc="T T T"
Na 2.524 2.524 0.000
Na 2.524 5.048 2.793
Hg 0.000 0.000 0.000
Hg 5.048 2.524 2.793
O 3.905 1.262 1.396
O 1.144 3.786 1.396
O 3.786 3.668 4.189
O 6.310 6.429 4.189
```

Computed properties:
D(E_F) ... 3.074 states/eV/cell
Mass density ... 5964 kg/m3
Magnetic moment ... 0.250 μB per atom
Total DFT energy (no corrections) ... -3.349 eV/atom
Uncorrected formation energy ... -179 kJ/mol of formula units

---

The following is a DFT calculation (PBE-GGA) of crystalline NaHg2O3 at its relaxed geometry.

Structure (extended XYZ):
```
6
Lattice="-3.171 0.061 1.643 1.195 -2.359 2.394 3.104 6.177 1.878" Properties=species:S:1:pos:R:3 pbc="T T T"
Na -1.139 -0.851 1.717
Hg 0.299 2.565 4.365
Hg 0.527 1.909 0.947
O 1.045 -2.061 2.092
O 1.221 3.557 2.224
O -0.394 0.918 3.088
```

Computed properties:
D(E_F) ... 1.702 states/eV/cell
Mass density ... 9177 kg/m3
Magnetic moment ... 0.000 μB per atom
Total DFT energy (no corrections) ... -3.266 eV/atom
Uncorrected formation energy ... -270 kJ/mol of formula units

---

The following is a DFT calculation (PBE-GGA) of crystalline Na3HgO at its relaxed geometry.

Structure (extended XYZ):
```
5
Lattice="4.727 0.000 0.000 0.000 4.727 0.000 0.000 0.000 4.727" Properties=species:S:1:pos:R:3 pbc="T T T"
Na 0.000 2.363 0.000
Na 0.000 0.000 2.363
Na 2.363 0.000 0.000
Hg 2.363 2.363 2.363
O 0.000 0.000 0.000
```

Computed properties:
D(E_F) ... 3.514 states/eV/cell
Mass density ... 4490 kg/m3
Magnetic moment ... 0.000 μB per atom
Relative energy among the computed polymorphs ... 47.7 meV per atom
Total DFT energy (no corrections) ... -2.579 eV/atom
Uncorrected formation energy ... -355 kJ/mol of formula units

---

The following is a DFT calculation (PBE-GGA) of crystalline Na3HgO3 at its relaxed geometry.

Structure (extended XYZ):
```
14
Lattice="-0.123 -4.163 2.212 5.621 -2.605 -4.591 1.757 3.483 6.651" Properties=species:S:1:pos:R:3 pbc="T T T"
Na 5.457 -4.689 -0.982
Na 1.856 -3.656 0.763
Na 5.411 -2.749 2.667
Na 1.799 1.404 5.255
Na 5.400 0.370 3.510
Na 1.845 -0.536 1.606
Hg 2.953 -1.669 4.563
Hg 4.302 -1.617 -0.290
O 2.013 -2.546 2.860
O 1.764 -0.810 6.114
O 5.082 -1.650 4.716
O 5.242 -0.739 1.413
O 5.491 -2.476 -1.841
O 2.174 -1.635 -0.443
```

Computed properties:
D(E_F) ... 9.260 states/eV/cell
Mass density ... 4343 kg/m3
Magnetic moment ... 0.145 μB per atom
Relative energy among the computed polymorphs ... 0.0 meV per atom
Total DFT energy (no corrections) ... -3.586 eV/atom
Uncorrected formation energy ... -576 kJ/mol of formula units

---

The following is a DFT calculation (PBE-GGA) of crystalline Na2HgO at its relaxed geometry.

Structure (extended XYZ):
```
4
Lattice="3.650 0.000 0.000 1.825 3.161 0.000 1.825 1.054 7.514" Properties=species:S:1:pos:R:3 pbc="T T T"
Na 1.825 1.054 0.954
Na 5.474 3.161 6.560
Hg 3.650 2.107 3.757
O 0.000 0.000 0.000
```

Computed properties:
D(E_F) ... 2.223 states/eV/cell
Mass density ... 5030 kg/m3
Magnetic moment ... 0.015 μB per atom
Relative energy among the computed polymorphs ... 0.7 meV per atom
Total DFT energy (no corrections) ... -2.806 eV/atom
Uncorrected formation energy ... -321 kJ/mol of formula units

---

The following is a DFT calculation (PBE-GGA) of crystalline NaHgO at its relaxed geometry.

Structure (extended XYZ):
```
6
Lattice="4.005 0.000 1.100 1.956 5.294 0.720 0.405 -0.271 6.366" Properties=species:S:1:pos:R:3 pbc="T T T"
Na 1.762 3.286 1.425
Na 4.604 1.736 6.760
Hg 3.112 4.154 4.351
Hg 3.254 0.869 3.834
O 3.602 2.650 2.567
O 2.764 2.373 5.618
```

Computed properties:
Mass density ... 5992 kg/m3
Magnetic moment ... 0.000 μB per atom
Relative energy among the computed polymorphs ... 0.0 meV per atom
Total DFT energy (no corrections) ... -2.919 eV/atom
Uncorrected formation energy ... -210 kJ/mol of formula units